1.
Density functional theory data (PBE-GGA) for a relaxed Ti6ZnCo crystal.

The structure in POSCAR format:
```
Ti6ZnCo
1.0
-0.0823 0.9343 -5.6029
2.6095 -4.6083 2.0559
-5.3091 -0.6436 1.4001
Ti Zn Co
6 1 1
Cartesian
0.4537 -2.8774 -2.2418 Ti
-1.5401 -4.3544 0.0968 Ti
-3.2355 -1.4402 0.0949 Ti
-0.0867 -2.3415 1.0427 Ti
-2.6951 -1.9761 -3.1896 Ti
-1.2417 0.0368 -2.2437 Ti
0.0000 0.0000 0.0000 Zn
-1.3909 -2.1588 -1.0735 Co
```

For the energy above the most stable polymorph in this dataset, the calculation gives 7.76 kcal/mol of atoms. The value obtained for the formation energy is 0.226 eV per atom. The value obtained for the total energy is -53.9 eV per cell.



2.
Density functional theory data (PBE-GGA) for a relaxed La2Tb2SmDy crystal.

The structure in POSCAR format:
```
La2Tb2SmDy
1.0
-3.9815 3.9479 -1.2413
-2.5788 -4.2051 -5.1021
-6.2003 -4.1836 6.5819
Dy Tb Sm La
2 4 2 4
Cartesian
-6.0381 -2.6240 -2.2620 Dy
-6.7607 -1.8790 2.4250 Dy
-8.0731 -3.9972 -0.1024 Tb
-4.7261 -0.5064 0.2646 Tb
-5.8323 -4.5706 4.1707 Tb
-2.9867 -3.8831 -2.7698 Tb
-3.1189 -2.1229 3.2521 Sm
-4.4095 -4.2262 0.7023 Sm
-1.7292 -1.8023 -0.1854 La
-2.0113 1.9411 -0.6593 La
-7.0902 -6.6520 1.5856 La
-9.4997 -4.3442 3.3702 La
```

The value obtained for the formation energy is 0.066 eV per atom. The value obtained for the total energy is -56.1 eV per cell.



3.
Density functional theory data (PBE-GGA) for a relaxed AuBrO crystal.

The structure in POSCAR format:
```
AuBrO
1.0
-1.3606 4.1578 -3.2968
-1.4503 -2.1195 -2.0745
-2.6395 0.3312 1.5070
Br Au O
1 1 1
Cartesian
-2.0001 2.2445 -0.8949 Br
-1.3198 0.1656 0.7535 Au
-0.7252 -1.0598 -1.0372 O
```

The raw formation energy comes out at 0.344 eV per atom. For the energy above the most stable polymorph in this dataset, the calculation gives 5.95 kcal/mol of atoms. The value obtained for the total energy is -8.9 eV per cell.



4.
Density functional theory data (PBE-GGA) for a relaxed Pa2Fe2Co crystal.

The structure in POSCAR format:
```
Pa2Fe2Co
1.0
5.2793 -0.0860 -1.2992
-2.1604 4.8793 -1.0447
-0.6128 -0.3003 6.7187
Pa Fe Co
4 4 2
Cartesian
1.4099 1.2906 0.1390 Pa
3.6275 0.9196 2.9357 Pa
1.0962 3.2024 4.2358 Pa
-1.1213 3.5734 1.4391 Pa
-1.3262 3.0426 5.2451 Fe
2.1443 3.2766 2.1932 Fe
3.8323 1.4504 -0.8703 Fe
0.3619 1.2164 2.1815 Fe
1.4162 4.3868 -0.1669 Co
1.0899 0.1062 4.5416 Co
```

The value obtained for the formation energy is -0.317 eV per atom. The value obtained for the total energy is -89.2 eV per cell.



5.
Density functional theory data (PBE-GGA) for a relaxed YFePt6 crystal.

The structure in POSCAR format:
```
YFePt6
1.0
-2.8385 -1.9904 2.0653
2.7447 -1.0411 2.7689
-1.6567 6.6682 4.1495
Pt Fe Y
6 1 1
Cartesian
-0.8753 1.8184 4.4918 Pt
0.1592 4.3625 4.4231 Pt
-2.6324 3.8878 4.0712 Pt
-0.0469 -1.5158 2.4171 Pt
0.9288 1.2646 2.4953 Pt
-1.8628 0.7900 2.1435 Pt
-0.8284 3.3341 2.0747 Fe
0.0000 0.0000 0.0000 Y
```

The value obtained for the formation energy is -0.589 eV per atom. The value obtained for the total energy is -55.9 eV per cell.



6.
Density functional theory data (PBE-GGA) for a relaxed CsKLa3 crystal.

The structure in POSCAR format:
```
CsKLa3
1.0
-1.2011 -2.2516 5.7286
-5.4144 -2.3896 -2.0745
2.9276 -5.3432 -1.4863
K La Cs
1 3 1
Cartesian
0.0000 0.0000 0.0000 K
-2.7072 -1.1948 -1.0372 La
-0.6006 -1.1258 2.8643 La
1.4638 -2.6716 -0.7431 La
-1.8440 -4.9922 1.0839 Cs
```

For the energy above the most stable polymorph in this dataset, the calculation gives 2.97 kcal/mol of atoms. The value obtained for the formation energy is 1.033 eV per atom. The value obtained for the total energy is -11.6 eV per cell.



Number 1: mass density 5.13 g/cm3. Number 2: mass density 7.43 g/cm3. Number 3: mass density 8.80 g/cm3. Number 4: mass density 12.71 g/cm3. Number 5: mass density 16.71 g/cm3. Number 6: mass density 3.96 g/cm3.